Compound: CdTe3
Source: the Alexandria database
Functional: SCAN
Structure: PBEsol geometry

a = 5.402 Å, b = 5.402 Å, c = 3.603 Å
α = 90.00°, β = 90.00°, γ = 90.00°
Sites, in units of the cell vectors:
Cd  0.000  0.000  0.000
Te  0.000  0.500  0.500
Te  0.500  0.000  0.500
Te  0.500  0.500  0.000

uncorrected formation energy = 0.19 eV per atom
total DFT energy (no corrections) = -35.35 eV per atom
mass density = 7.821 g/cm³
SG = P4/mmm, No. 123

***

Compound: CsW2O6
Source: the Alexandria database
Functional: SCAN
Structure: PBEsol geometry

a = 7.317 Å, b = 7.317 Å, c = 7.317 Å
α = 60.00°, β = 60.00°, γ = 60.00°
Sites, in units of the cell vectors:
Cs  0.125  0.125  0.125
Cs  0.875  0.875  0.875
W  0.000  0.500  0.500
W  0.500  0.000  0.500
W  0.500  0.500  0.000
W  0.500  0.500  0.500
O  0.190  0.190  0.560
O  0.190  0.560  0.190
O  0.190  0.560  0.560
O  0.440  0.440  0.810
O  0.440  0.810  0.440
O  0.440  0.810  0.810
O  0.560  0.190  0.190
O  0.560  0.190  0.560
O  0.560  0.560  0.190
O  0.810  0.440  0.440
O  0.810  0.440  0.810
O  0.810  0.810  0.440

uncorrected formation energy = -2.28 eV per atom
total DFT energy (no corrections) = -26.12 eV per atom
mass density = 7.154 g/cm³
SG = Fd-3m, No. 227

***

Compound: NiRuSe2
Source: the Alexandria database
Functional: SCAN
Structure: PBEsol geometry

a = 3.036 Å, b = 3.036 Å, c = 6.190 Å
α = 90.00°, β = 90.00°, γ = 90.00°
Sites, in units of the cell vectors:
Ni  0.000  0.000  0.000
Ru  0.000  0.000  0.500
Se  0.500  0.500  0.245
Se  0.500  0.500  0.755

uncorrected formation energy = 0.27 eV per atom
total DFT energy (no corrections) = -22.52 eV per atom
mass density = 9.247 g/cm³
SG = P4/mmm, No. 123